Record 1
# Dy2SeO2 (GGA-PBEsol, optimized geometry)
data_Dy2SeO2
_chemical_formula_sum 'Dy4 Se2 O4'
_cell_length_a 3.779
_cell_length_b 3.779
_cell_length_c 11.941
_cell_angle_alpha 90.00
_cell_angle_beta 90.00
_cell_angle_gamma 90.00
_space_group_name_H-M_alt 'I 4/m m m'
_space_group_IT_number 139
_space_group_name_Hall '-I 4 2'
loop_
_atom_site_label
_atom_site_fract_x
_atom_site_fract_y
_atom_site_fract_z
Dy1 0.000 0.000 0.156
Se1 0.000 0.000 0.500
O1 0.000 0.500 0.250
# Total magnetic moment ... 0.0 μB/f.u.
# Uncorrected formation energy ... -72.4 kcal/mol of atoms

---

Record 2
# DySeO3 (GGA-PBEsol, optimized geometry)
data_DySeO3
_chemical_formula_sum 'Dy8 Se8 O24'
_cell_length_a 5.910
_cell_length_b 12.166
_cell_length_c 8.777
_cell_angle_alpha 90.00
_cell_angle_beta 106.44
_cell_angle_gamma 90.00
_space_group_name_H-M_alt 'P 1 21/c 1'
_space_group_IT_number 14
loop_
_space_group_symop_operation_xyz
'x,y,z'
'-x,-y,-z'
'-x,y+1/2,-z+1/2'
'x,-y+1/2,z+1/2'
loop_
_atom_site_label
_atom_site_fract_x
_atom_site_fract_y
_atom_site_fract_z
Dy1 0.137 0.241 0.155
Dy2 0.262 0.561 0.084
Se1 0.123 0.519 0.674
Se2 0.454 0.655 0.484
O1 0.063 0.588 0.283
O2 0.093 0.096 0.582
O3 0.249 0.747 0.995
O4 0.283 0.224 0.923
O5 0.363 0.517 0.853
O6 0.481 0.676 0.296
# Total magnetic moment ... 0.0 μB/f.u.
# Uncorrected formation energy ... -49.3 kcal/mol of atoms

---

Record 3
# Dy2SiSeO4 (GGA-PBEsol, optimized geometry)
data_Dy2SiSeO4
_chemical_formula_sum 'Dy8 Si4 Se4 O16'
_cell_length_a 5.971
_cell_length_b 6.889
_cell_length_c 10.685
_cell_angle_alpha 90.00
_cell_angle_beta 90.00
_cell_angle_gamma 90.00
_space_group_name_H-M_alt 'P b c m'
_space_group_IT_number 57
loop_
_space_group_symop_operation_xyz
'x,y,z'
'-x,-y,-z'
'-x,-y,z+1/2'
'x,y,-z+1/2'
'x,-y+1/2,-z'
'-x,y+1/2,z'
'-x,y+1/2,-z+1/2'
'x,-y+1/2,z+1/2'
loop_
_atom_site_label
_atom_site_fract_x
_atom_site_fract_y
_atom_site_fract_z
Dy1 0.107 0.250 0.000
Dy2 0.368 0.528 0.250
Si1 0.388 0.750 0.000
Se1 0.080 0.622 0.750
O1 0.223 0.567 0.033
O2 0.443 0.241 0.622
# Total magnetic moment ... 0.0 μB/f.u.
# Uncorrected formation energy ... -70.7 kcal/mol of atoms